1.
Density functional theory data (PBE-GGA) for crystalline CsTiHg2Br8 at its relaxed geometry.

For the density of states at the Fermi level, the calculation gives 1.2 states/eV/cell. Its crystal system is triclinic. The raw total energy is -0.20704 Ry/atom. For the formation energy from raw total energies, the calculation gives -0.922 eV/atom.

Cell lengths 6.8750, 7.7046, 9.4359 Å; angles 71.85, 83.40, 87.72 degrees
Last column: nearest neighbours and their distance in Å.
Space group P-1 (No. 2)
Asymmetric unit:
Cs  0.0000  0.0000  0.0000 (multiplicity 1)  8 Br 3.76-4.12
Ti  0.0000  0.5000  0.5000 (multiplicity 1)  6 Br 2.55-2.60
Hg  0.4678  0.5254  0.2146 (multiplicity 2)  3 Br 2.64-2.85
Br  0.1237  0.4915  0.7523 (multiplicity 2)  1 Ti 2.60, 1 Hg 2.85
Br  0.2215  0.7706  0.3586 (multiplicity 2)  1 Ti 2.55
Br  0.2766  0.2827  0.4512 (multiplicity 2)  1 Ti 2.58, 1 Hg 2.67
Br  0.4953  0.7683  0.9453 (multiplicity 2)  1 Hg 2.64

***

2.
Density functional theory data (PBE-GGA) for crystalline IrRu2Rh at its relaxed geometry.

For the density of states at the Fermi level, the calculation gives 7.1 states/eV/cell. Its crystal system is monoclinic. For the formation energy from the elements, the calculation gives 0.0065 eV per atom. As for the energy above the lowest structure with this stoichiometry: 0.000 eV/f.u. The raw total energy is -0.63830 Ry/atom.

Cell lengths 9.0113, 2.7063, 4.7020 Å; angles 90.00, 99.84, 90.00 degrees
Last column: nearest neighbours and their distance in Å.
Space group Cm (No. 8)
Asymmetric unit:
Ir  0.0000  0.0000  0.0000 (multiplicity 2)  7 Ru 2.69-2.74, 2 Ir 2.71, 3 Rh 2.71-2.74
Ru  0.0037  0.5000  0.5067 (multiplicity 2)  4 Ir 2.69-2.74, 5 Ru 2.70-2.72, 3 Rh 2.71-2.73
Ru  0.2521  0.0000  0.7531 (multiplicity 2)  3 Ir 2.70-2.72, 4 Rh 2.70-2.72, 5 Ru 2.70-2.72
Rh  0.2526  0.5000  0.2561 (multiplicity 2)  7 Ru 2.70-2.73, 2 Rh 2.71, 3 Ir 2.71-2.74

***

3.
Density functional theory data (PBE-GGA) for crystalline Tb2Pm2Ag3 at its relaxed geometry.

For the density of states at the Fermi level, the calculation gives 16.7 states/eV/cell. Its crystal system is monoclinic. For the formation energy from the elements, the calculation gives -0.1373 eV per atom. The raw total energy is -0.29690 Ry/atom.

Cell lengths 8.9098, 5.1531, 8.9515 Å; angles 90.00, 109.36, 90.00 degrees
Last column: nearest neighbours and their distance in Å.
Space group C2/m (No. 12)
Asymmetric unit:
Tb  0.1242  0.0000  0.3714 (multiplicity 4)  7 Ag 3.12-3.17
Pm  0.1258  0.5000  0.8802 (multiplicity 4)  5 Ag 3.18-3.21
Ag  0.0000  0.5000  0.5000 (multiplicity 2)  6 Tb 3.16-3.17, 2 Pm 3.21
Ag  0.2479  0.0000  0.7433 (multiplicity 4)  4 Tb 3.12-3.14, 4 Pm 3.18-3.20

***

4.
Density functional theory data (PBE-GGA) for crystalline SrMg4Ga2 at its relaxed geometry.

For the density of states at the Fermi level, the calculation gives 5.7 states/eV/cell. Its crystal system is orthorhombic. For the formation energy from the elements, the calculation gives -0.2417 eV per atom. The raw total energy is -0.16596 Ry/atom.

Cell lengths 4.5806, 16.0604, 4.5864 Å; angles 90.00, 90.00, 90.00 degrees
Last column: nearest neighbours and their distance in Å.
Space group Cmmm (No. 65)
Asymmetric unit:
Sr  0.0000  0.0000  0.0000 (multiplicity 2)  8 Ga 3.49, 8 Mg 3.69
Mg  0.0000  0.1804  0.5000 (multiplicity 4)  2 Ga 2.80
Mg  0.0000  0.3195  0.0000 (multiplicity 4)  2 Ga 2.81
Ga  0.0000  0.4202  0.5000 (multiplicity 4)  1 Ga 2.56, 4 Mg 2.80-2.81

***

5.
Density functional theory data (PBE-GGA) for crystalline Dy6CdHg5 at its relaxed geometry.

For the density of states at the Fermi level, the calculation gives 24.0 states/eV/cell. Its crystal system is orthorhombic. For the formation energy from the elements, the calculation gives -0.4537 eV per atom. The raw total energy is -0.21732 Ry/atom.

Cell lengths 5.2521, 15.8385, 7.4510 Å; angles 90.00, 90.00, 90.00 degrees
Last column: nearest neighbours and their distance in Å.
Space group Cmmm (No. 65)
Asymmetric unit:
Dy  0.0000  0.0000  0.2470 (multiplicity 4)  6 Hg 3.18-3.21, 2 Cd 3.23
Dy  0.0000  0.3320  0.2504 (multiplicity 8)  7 Hg 3.22-3.28, 1 Cd 3.25
Cd  0.0000  0.5000  0.5000 (multiplicity 2)  8 Dy 3.23-3.25
Hg  0.0000  0.1616  0.5000 (multiplicity 4)  8 Dy 3.18-3.28
Hg  0.0000  0.1656  0.0000 (multiplicity 4)  8 Dy 3.20-3.23
Hg  0.0000  0.5000  0.0000 (multiplicity 2)  8 Dy 3.21-3.25

***

6.
Density functional theory data (PBE-GGA) for crystalline RbHoBi2 at its relaxed geometry.

For the density of states at the Fermi level, the calculation gives 9.1 states/eV/cell. Its crystal system is trigonal. For the formation energy from the elements, the calculation gives -0.3426 eV per atom. As for the energy above the lowest structure with this stoichiometry: 0.592 eV/f.u. The raw total energy is -0.26970 Ry/atom.

Cell lengths 4.5103, 4.5103, 27.3037 Å; angles 90.00, 90.00, 120.00 degrees
Last column: nearest neighbours and their distance in Å.
Space group R3m (No. 160, hexagonal axes)
Asymmetric unit:
Rb  0.0000  0.0000  0.0000 (multiplicity 3)  6 Bi 3.78-3.84
Ho  0.0000  0.0000  0.8311 (multiplicity 3)  6 Bi 3.14-3.16
Bi  0.0000  0.0000  0.2298 (multiplicity 3)  3 Ho 3.16
Bi  0.0000  0.0000  0.4336 (multiplicity 3)  3 Ho 3.14

***

7.
Density functional theory data (PBE-GGA) for crystalline CrHg4Pt2 at its relaxed geometry.

For the density of states at the Fermi level, the calculation gives 7.2 states/eV/cell. Its crystal system is tetragonal. For the formation energy from the elements, the calculation gives 0.5279 eV per atom. The raw total energy is -0.20178 Ry/atom.

Cell lengths 5.2453, 5.2453, 13.4281 Å; angles 90.00, 90.00, 90.00 degrees
Last column: nearest neighbours and their distance in Å.
Space group I4/mmm (No. 139)
Asymmetric unit:
Cr  0.0000  0.0000  0.0000 (multiplicity 2)  6 Hg 2.62-2.76
Hg  0.0000  0.0000  0.2058 (multiplicity 4)  1 Pt 2.66, 1 Cr 2.76
Hg  0.0000  0.5000  0.0000 (multiplicity 4)  2 Cr 2.62, 4 Pt 2.92
Pt  0.0000  0.0000  0.4038 (multiplicity 4)  1 Pt 2.58, 1 Hg 2.66

***

8.
Density functional theory data (PBE-GGA) for crystalline HgAsOs2 at its relaxed geometry.

For the density of states at the Fermi level, the calculation gives 14.1 states/eV/cell. Its crystal system is cubic. For the formation energy from the elements, the calculation gives 1.0119 eV per atom. As for the energy above the lowest structure with this stoichiometry: 2.464 eV/f.u. The raw total energy is -0.42929 Ry/atom.

Cell lengths 6.4407, 6.4407, 6.4407 Å; angles 90.00, 90.00, 90.00 degrees
Last column: nearest neighbours and their distance in Å.
Space group F-43m (No. 216)
Asymmetric unit:
Hg  0.0000  0.0000  0.0000 (multiplicity 4)  4 As 2.79, 4 Os 2.79
As  0.2500  0.2500  0.7500 (multiplicity 4)  4 Hg 2.79, 4 Os 2.79
Os  0.0000  0.0000  0.5000 (multiplicity 4)  4 As 2.79, 4 Os 2.79
Os  0.2500  0.2500  0.2500 (multiplicity 4)  4 Hg 2.79, 4 Os 2.79

***

9.
Density functional theory data (PBE-GGA) for crystalline Tb7NdY4 at its relaxed geometry.

For the density of states at the Fermi level, the calculation gives 15.9 states/eV/cell. Its crystal system is triclinic. For the formation energy from the elements, the calculation gives -0.0022 eV per atom. As for the energy above the lowest structure with this stoichiometry: 0.000 eV/f.u. The raw total energy is -0.38625 Ry/atom.

Cell lengths 6.2426, 7.2052, 8.8830 Å; angles 90.03, 103.52, 90.01 degrees
Last column: nearest neighbours and their distance in Å.
Space group P-1 (No. 2)
Asymmetric unit:
Tb  0.0000  0.0000  0.0000 (multiplicity 1)  4 Y 3.55-3.57, 6 Tb 3.56-3.61, 2 Nd 3.60
Tb  0.2219  0.5004  0.6657 (multiplicity 2)  6 Tb 3.54-3.61, 5 Y 3.54-3.61, 1 Nd 3.56
Tb  0.2774  0.2497  0.3346 (multiplicity 2)  6 Y 3.53-3.61, 5 Tb 3.54-3.61, 1 Nd 3.56
Tb  0.4993  0.2493  0.0007 (multiplicity 2)  3 Y 3.55-3.57, 7 Tb 3.55-3.61, 2 Nd 3.60-3.61
Nd  0.0000  0.5000  0.0000 (multiplicity 1)  10 Tb 3.56-3.61, 2 Y 3.57
Y  0.2215  0.0003  0.6661 (multiplicity 2)  8 Tb 3.54-3.61, 4 Y 3.54-3.61
Y  0.2798  0.7504  0.3350 (multiplicity 2)  8 Tb 3.53-3.61, 3 Y 3.54-3.61, 1 Nd 3.57

***

10.
Density functional theory data (PBE-GGA) for crystalline Ti3ZnN at its relaxed geometry.

For the density of states at the Fermi level, the calculation gives 3.3 states/eV/cell. Its crystal system is trigonal. As for the energy above the lowest structure with this stoichiometry: 1.358 eV/f.u. The raw total energy is -0.53539 Ry/atom. For the formation energy from raw total energies, the calculation gives -0.628 eV/atom.

Cell lengths 5.2757, 5.2757, 19.2057 Å; angles 90.00, 90.00, 120.00 degrees
Last column: nearest neighbours and their distance in Å.
Space group R-3 (No. 148, hexagonal axes)
Asymmetric unit:
Ti  0.0061  0.3256  0.2754 (multiplicity 18)  2 N 2.04-2.09
Zn  0.0000  0.0000  0.1635 (multiplicity 6)  6 Ti 2.72-2.74
N  0.0000  0.0000  0.3382 (multiplicity 6)  6 Ti 2.04-2.09

***

11.
Density functional theory data (PBE-GGA) for crystalline Ni2S at its relaxed geometry.

For the density of states at the Fermi level, the calculation gives 4.0 states/eV/cell. Its crystal system is triclinic. The raw total energy is -0.40102 Ry/atom. For the formation energy from raw total energies, the calculation gives -0.226 eV/atom.

Cell lengths 4.0019, 4.0073, 5.7110 Å; angles 92.17, 92.47, 119.75 degrees
Last column: nearest neighbours and their distance in Å.
Space group P-1 (No. 2)
Asymmetric unit:
Ni  0.1628  0.3320  0.1027 (multiplicity 2)  3 S 2.17-2.23
Ni  0.3341  0.1648  0.6012 (multiplicity 2)  3 S 2.17-2.23
S  0.1576  0.8382  0.2503 (multiplicity 2)  6 Ni 2.17-2.23